(1)
# K2CeScO4 GGA-PBE relaxed
data_K2CeScO4
_chemical_formula_sum 'K2 Ce1 Sc1 O4'
_cell_length_a 5.9721
_cell_length_b 3.4569
_cell_length_c 6.5297
_cell_angle_alpha 90.00
_cell_angle_beta 107.43
_cell_angle_gamma 90.00
_space_group_name_H-M_alt 'P 1 2/m 1'
_space_group_IT_number 10
loop_
_space_group_symop_operation_xyz
'x,y,z'
'-x,-y,-z'
'-x,y,-z'
'x,-y,z'
loop_
_atom_site_label
_atom_site_type_symbol
_atom_site_fract_x
_atom_site_fract_y
_atom_site_fract_z
_atom_site_occupancy
K1 K 0.0000 0.0000 0.0000 1
K2 K 0.5000 0.5000 0.0000 1
Ce1 Ce 0.0000 0.5000 0.5000 1
Sc1 Sc 0.5000 0.0000 0.5000 1
O1 O 0.2513 0.0000 0.6858 1
O2 O 0.2891 0.5000 0.3197 1
# Formation energy without anion corrections = -2.62 eV per atom



(2)
# K3Ce2ScO6 GGA-PBE relaxed
data_K3Ce2ScO6
_chemical_formula_sum 'K6 Ce4 Sc2 O12'
_cell_length_a 6.0893
_cell_length_b 10.5527
_cell_length_c 6.5718
_cell_angle_alpha 90.00
_cell_angle_beta 107.92
_cell_angle_gamma 90.00
_space_group_name_H-M_alt 'C 1 2/m 1'
_space_group_IT_number 12
loop_
_space_group_symop_operation_xyz
'x,y,z'
'-x,-y,-z'
'-x,y,-z'
'x,-y,z'
'x+1/2,y+1/2,z'
'-x+1/2,-y+1/2,-z'
'-x+1/2,y+1/2,-z'
'x+1/2,-y+1/2,z'
loop_
_atom_site_label
_atom_site_type_symbol
_atom_site_fract_x
_atom_site_fract_y
_atom_site_fract_z
_atom_site_occupancy
K1 K 0.0000 0.0000 0.0000 1
K2 K 0.0000 0.3378 0.0000 1
Ce1 Ce 0.0000 0.1669 0.5000 1
Sc1 Sc 0.0000 0.5000 0.5000 1
O1 O 0.2173 0.3443 0.6851 1
O2 O 0.2498 0.0000 0.6843 1
# Formation energy without anion corrections = -2.61 eV per atom